1.
Density functional theory data (GGA-PBE) for a relaxed MgSiOs2 crystal.

```
MgSiOs2
1.0
2.8164 0.0000 0.0000
0.0000 2.8164 0.0000
0.0000 0.0000 7.7738
Mg Si Os
1 1 2
Cartesian
0.0000 0.0000 0.0000
1.4082 1.4082 5.4313
0.0000 0.0000 3.7781
1.4082 1.4082 2.0314
```

Properties
Uncorrected formation energy (meV/atom): 26
E_tot (eV for the cell shown): -29.37
Spin magnetization (μB/f.u.): 0.0


2.
Density functional theory data (GGA-PBE) for a relaxed PRuSeS2 crystal.

```
PRuSeS2
1.0
4.5331 0.0000 0.0000
0.0000 4.5331 0.0000
0.0000 0.0000 4.7342
P Ru Se S
1 1 1 2
Cartesian
0.0000 0.0000 0.0000
0.0000 0.0000 2.3671
2.2665 2.2665 0.0000
0.0000 2.2665 2.3671
2.2665 0.0000 2.3671
```

Properties
Uncorrected formation energy (meV/atom): 596
E_tot (eV for the cell shown): -23.45
ΔE to the lowest computed polymorph (meV per atom): 0
Spin magnetization (μB/f.u.): 0.0


3.
Density functional theory data (GGA-PBE) for a relaxed Cs12Pt3Au5 crystal.

```
Cs12Pt3Au5
1.0
-10.3283 10.3283 10.3283
10.3283 -10.3283 10.3283
10.3283 10.3283 -10.3283
Cs Pt Au
48 12 20
Cartesian
3.1734 -0.3832 1.6269
12.3191 6.7910 -5.5473
9.9451 -1.6269 3.1734
15.8757 -1.9908 3.5373
13.5017 0.3832 1.6269
12.3191 -3.5373 5.5473
1.6269 3.1734 -0.3832
13.8656 4.7810 -1.9908
6.7910 5.5473 -1.9908
8.7015 3.1734 0.3832
-0.3832 1.6269 3.1734
5.5473 -1.9908 6.7910
9.9451 8.7015 -3.1734
5.5473 1.9908 3.5373
8.7015 -3.1734 9.9451
6.7910 -5.5473 12.3191
3.5373 5.5473 1.9908
11.9552 7.1549 0.3832
3.1734 9.9451 -1.6269
12.3191 3.5373 4.7810
5.5473 12.3191 -3.5373
9.9451 1.6269 7.1549
1.9908 3.5373 5.5473
3.1734 0.3832 8.7015
7.1549 9.9451 1.6269
8.3376 6.7910 4.7810
0.3832 8.7015 3.1734
4.7810 -1.9908 13.8656
-1.9908 6.7910 5.5473
7.1549 0.3832 11.9552
-1.6269 3.1734 9.9451
6.7910 4.7810 8.3376
3.5373 15.8757 -1.9908
1.6269 13.5017 0.3832
4.7810 8.3376 6.7910
0.3832 1.6269 13.5017
4.7810 12.3191 3.5373
10.7115 8.7015 7.1549
1.6269 7.1549 9.9451
3.5373 4.7810 12.3191
-3.5373 5.5473 12.3191
8.7015 7.1549 10.7115
-1.9908 13.8656 4.7810
-3.1734 9.9451 8.7015
-5.5473 12.3191 6.7910
0.3832 11.9552 7.1549
-1.9908 3.5373 15.8757
7.1549 10.7115 8.7015
5.1642 2.5821 0.0000
10.3283 5.1642 -2.5821
2.5821 0.0000 5.1642
12.9104 0.0000 5.1642
0.0000 5.1642 2.5821
5.1642 -2.5821 10.3283
5.1642 12.9104 0.0000
10.3283 5.1642 7.7462
-2.5821 10.3283 5.1642
7.7462 10.3283 5.1642
0.0000 5.1642 12.9104
5.1642 7.7462 10.3283
0.0000 0.0000 0.0000
5.1642 5.1642 -5.1642
5.1642 -5.1642 5.1642
10.3283 0.0000 0.0000
15.4925 2.5821 0.0000
10.3283 -5.1642 7.7462
7.7462 10.3283 -5.1642
7.7462 0.0000 5.1642
5.1642 7.7462 0.0000
10.3283 5.1642 2.5821
-5.1642 5.1642 5.1642
0.0000 10.3283 0.0000
0.0000 0.0000 10.3283
5.1642 5.1642 5.1642
0.0000 5.1642 7.7462
5.1642 2.5821 10.3283
2.5821 10.3283 5.1642
2.5821 0.0000 15.4925
0.0000 15.4925 2.5821
-5.1642 7.7462 10.3283
```

Properties
ΔH_f (0 K) (meV/atom): -81
E_tot (eV for the cell shown): -185.52
Spin magnetization (μB/f.u.): 0.0